Below is a crystal of MgMoOs2 relaxed with PBEsol, with properties calculated at the meta-GGA SCAN level.

Computed properties:
Formation energy   52 meV/atom
Symmetry   P4/mmm (123)

Cell: 3.084 4.349 4.349 Å, 90.00 90.00 90.00°
Positions (direct):
Os1 0.000 0.500 0.000
Os2 0.000 0.000 0.500
Mg1 0.500 0.500 0.500
Mo1 0.500 0.000 0.000

Below is a crystal of Mg2MoOs relaxed with PBEsol, with properties calculated at the meta-GGA SCAN level.

Computed properties:
Energy above the most stable polymorph in this dataset   0.005 eV/atom
Formation energy   -3 meV/atom
Symmetry   F-43m (216)

Cell: 4.430 4.430 4.430 Å, 60.00 60.00 60.00°
Positions (direct):
Os1 0.750 0.750 0.750
Mg1 0.000 0.000 0.000
Mg2 0.250 0.250 0.250
Mo1 0.500 0.500 0.500

Below is a crystal of Mg2MoOs relaxed with PBEsol, with properties calculated at the meta-GGA SCAN level.

Computed properties:
Energy above the most stable polymorph in this dataset   0.242 eV/atom
Formation energy   234 meV/atom
Symmetry   C2/m (12)

Cell: 2.669 5.282 5.310 Å, 116.05 97.83 103.37°
Positions (direct):
Mo1 0.000 0.500 0.000
Os1 0.500 0.000 0.000
Mg1 0.000 0.000 0.500
Mg2 0.500 0.500 0.500

Below is a crystal of MgZn2MoOs relaxed with PBEsol, with properties calculated at the meta-GGA SCAN level.

Computed properties:
Formation energy   791 meV/atom
Symmetry   P4/mmm (123)

Cell: 4.701 4.757 4.757 Å, 90.00 90.00 90.00°
Site moments in Bohr magnetons follow the coordinates.
Positions (direct):
Zn1 0.000 0.000 0.500  0.00
Zn2 0.000 0.500 0.000  0.00
Mo1 0.500 0.000 0.000  1.85
Os1 0.000 0.000 0.000  0.04
Mg1 0.500 0.500 0.500  -0.03

Below is a crystal of MgMo3P relaxed with PBEsol, with properties calculated at the meta-GGA SCAN level.

Computed properties:
Formation energy   2393 meV/atom
Symmetry   Pm-3m (221)

Cell: 4.495 4.495 4.495 Å, 90.00 90.00 90.00°
Site moments in Bohr magnetons follow the coordinates.
Positions (direct):
P1 0.500 0.500 0.500  -0.05
Mg1 0.000 0.000 0.000  0.08
Mo1 0.000 0.500 0.000  1.28
Mo2 0.500 0.000 0.000  1.28
Mo3 0.000 0.000 0.500  1.28

Below is a crystal of Mg2MoP relaxed with PBEsol, with properties calculated at the meta-GGA SCAN level.

Computed properties:
Formation energy   93 meV/atom
Symmetry   I4/mmm (139)

Cell: 3.676 3.678 5.266 Å, 110.44 110.43 90.00°
Positions (direct):
P1 0.500 0.000 0.000
Mo1 0.000 0.500 0.000
Mg1 0.750 0.750 0.500
Mg2 0.250 0.250 0.500

Below is a crystal of MgTaMo2Pb relaxed with PBEsol, with properties calculated at the meta-GGA SCAN level.

Computed properties:
Formation energy   2175 meV/atom
Symmetry   P4/mmm (123)

Cell: 4.656 4.995 4.995 Å, 90.00 90.00 90.00°
Site moments in Bohr magnetons follow the coordinates.
Positions (direct):
Mg1 0.500 0.000 0.000  -0.03
Pb1 0.000 0.000 0.000  0.00
Ta1 0.500 0.500 0.500  -0.91
Mo1 0.000 0.000 0.500  1.39
Mo2 0.000 0.500 0.000  1.39

Below is a crystal of MgSnMoPd2 relaxed with PBEsol, with properties calculated at the meta-GGA SCAN level.

Computed properties:
Formation energy   882 meV/atom
Symmetry   P4/mmm (123)

Cell: 4.855 4.855 5.001 Å, 90.00 90.00 90.00°
Site moments in Bohr magnetons follow the coordinates.
Positions (direct):
Pd1 0.500 0.000 0.000  -0.05
Pd2 0.000 0.500 0.000  -0.05
Mg1 0.500 0.500 0.500  -0.02
Sn1 0.000 0.000 0.000  -0.09
Mo1 0.000 0.000 0.500  2.60

Below is a crystal of MgMoPt2 relaxed with PBEsol, with properties calculated at the meta-GGA SCAN level.

Computed properties:
Formation energy   -672 meV/atom
Symmetry   P4/mmm (123)

Cell: 2.783 2.783 7.820 Å, 90.00 90.00 90.00°
Positions (direct):
Mg1 0.500 0.500 0.000
Mo1 0.500 0.500 0.500
Pt1 0.000 0.000 0.744
Pt2 0.000 0.000 0.256

Below is a crystal of MgMoPt3 relaxed with PBEsol, with properties calculated at the meta-GGA SCAN level.

Computed properties:
Formation energy   1032 meV/atom
Symmetry   Pm-3m (221)

Cell: 4.486 4.486 4.486 Å, 90.00 90.00 90.00°
Site moments in Bohr magnetons follow the coordinates.
Positions (direct):
Mg1 0.000 0.000 0.000  -0.01
Pt1 0.500 0.000 0.000  0.24
Pt2 0.000 0.000 0.500  0.24
Pt3 0.000 0.500 0.000  0.24
Mo1 0.500 0.500 0.500  3.14

Below is a crystal of MgMoPt2 relaxed with PBEsol, with properties calculated at the meta-GGA SCAN level.

Computed properties:
Formation energy   -557 meV/atom
Symmetry   Cmmm (65)

Cell: 2.770 4.776 4.776 Å, 106.54 90.00 90.00°
Site moments in Bohr magnetons follow the coordinates.
Positions (direct):
Pt1 0.000 0.000 0.500  0.03
Pt2 0.000 0.500 0.000  0.03
Mg1 0.500 0.000 0.000  0.00
Mo1 0.500 0.500 0.500  0.56

Below is a crystal of MgMoPt2 relaxed with PBEsol, with properties calculated at the meta-GGA SCAN level.

Computed properties:
Formation energy   -230 meV/atom
Symmetry   C2/m (12)

Cell: 2.747 4.708 5.037 Å, 97.86 90.00 106.96°
Positions (direct):
Pt1 0.751 0.502 0.758
Pt2 0.249 0.498 0.242
Mo1 0.500 0.000 0.000
Mg1 0.000 0.000 0.500

Below is a crystal of MgReMo2 relaxed with PBEsol, with properties calculated at the meta-GGA SCAN level.

Computed properties:
Formation energy   146 meV/atom
Symmetry   Cmm2 (35)

Cell: 2.705 2.705 9.088 Å, 90.00 90.00 109.50°
Positions (direct):
Mg1 0.500 0.500 0.254
Mo1 0.500 0.500 0.748
Mo2 0.000 0.000 0.988
Re1 0.000 0.000 0.511

Below is a crystal of MgReMo2 relaxed with PBEsol, with properties calculated at the meta-GGA SCAN level.

Computed properties:
Formation energy   350 meV/atom
Symmetry   Cmmm (65)

Cell: 2.654 5.125 5.125 Å, 117.31 90.00 90.00°
Positions (direct):
Re1 0.500 0.000 0.000
Mo1 0.000 0.500 0.000
Mo2 0.000 0.000 0.500
Mg1 0.500 0.500 0.500

Below is a crystal of MgReMo2 relaxed with PBEsol, with properties calculated at the meta-GGA SCAN level.

Computed properties:
Formation energy   402 meV/atom
Symmetry   I-4m2 (119)

Cell: 3.775 3.775 5.076 Å, 111.83 111.83 90.00°
Positions (direct):
Re1 0.500 0.500 0.000
Mo1 0.750 0.250 0.500
Mo2 0.000 0.000 0.000
Mg1 0.250 0.750 0.500

Below is a crystal of MgReTe2Mo relaxed with PBEsol, with properties calculated at the meta-GGA SCAN level.

Computed properties:
Energy relative to the elements, uncorrected   2131 meV per atom
Symmetry   P4/mmm (123)

Cell: 4.626 4.990 4.990 Å, 90.00 90.00 90.00°
Site moments in Bohr magnetons follow the coordinates.
Positions (direct):
Te1 0.000 0.500 0.000  -0.17
Te2 0.000 0.000 0.500  -0.17
Re1 0.500 0.500 0.500  2.38
Mo1 0.500 0.000 0.000  1.53
Mg1 0.000 0.000 0.000  0.02

Below is a crystal of MgMo2Rh relaxed with PBEsol, with properties calculated at the meta-GGA SCAN level.

Computed properties:
Formation energy   156 meV/atom
Symmetry   Cmmm (65)

Cell: 2.712 2.712 8.445 Å, 90.00 90.00 93.05°
Positions (direct):
Mg1 0.500 0.500 0.000
Mo1 0.000 0.000 0.271
Mo2 0.000 0.000 0.729
Rh1 0.500 0.500 0.500

Below is a crystal of MgMo3Rh relaxed with PBEsol, with properties calculated at the meta-GGA SCAN level.

Computed properties:
Formation energy   2274 meV/atom
Symmetry   Pm-3m (221)

Cell: 4.426 4.426 4.426 Å, 90.00 90.00 90.00°
Positions (direct):
Mg1 0.000 0.000 0.000
Mo1 0.500 0.000 0.000
Mo2 0.000 0.500 0.000
Mo3 0.000 0.000 0.500
Rh1 0.500 0.500 0.500

Below is a crystal of MgMoRu relaxed with PBEsol, with properties calculated at the meta-GGA SCAN level.

Computed properties:
Energy above the most stable polymorph in this dataset   0.621 eV/atom
Formation energy   714 meV/atom
Symmetry   F-43m (216)

Cell: 4.214 4.214 4.214 Å, 60.00 60.00 60.00°
Positions (direct):
Mg1 0.500 0.500 0.500
Mo1 0.250 0.250 0.250
Ru1 0.000 0.000 0.000

Below is a crystal of MgMoRu relaxed with PBEsol, with properties calculated at the meta-GGA SCAN level.

Computed properties:
Energy above the most stable polymorph in this dataset   0.131 eV/atom
Formation energy   224 meV/atom
Symmetry   Fmm2 (42)

Cell: 2.713 2.713 6.973 Å, 96.84 96.84 112.81°
Positions (direct):
Mg1 0.005 0.005 0.009
Mo1 0.324 0.324 0.649
Ru1 0.671 0.671 0.342

Below is a crystal of MgMoRu relaxed with PBEsol, with properties calculated at the meta-GGA SCAN level.

Computed properties:
Energy above the most stable polymorph in this dataset   0.000 eV/atom
Formation energy   92 meV/atom
Symmetry   P3m1 (156)

Cell: 2.759 4.347 4.347 Å, 120.00 90.00 90.00°
Positions (direct):
Ru1 0.378 0.667 0.333
Mg1 0.013 0.000 0.000
Mo1 0.609 0.333 0.667

Below is a crystal of MgMo3S4 relaxed with PBEsol, with properties calculated at the meta-GGA SCAN level.

Computed properties:
Energy relative to the elements, uncorrected   -948 meV per atom
Symmetry   P-1 (2)

Cell: 6.606 6.522 6.518 Å, 98.26 90.64 99.44°
Positions (direct):
S1 0.401 0.707 0.147
S2 0.783 0.828 0.795
S3 0.716 0.138 0.365
S4 0.884 0.627 0.270
S5 0.599 0.293 0.853
S6 0.217 0.172 0.205
S7 0.116 0.373 0.730
S8 0.284 0.862 0.635
Mo1 0.230 0.531 0.415
Mo2 0.453 0.597 0.773
Mo3 0.547 0.403 0.227
Mo4 0.602 0.777 0.459
Mo5 0.398 0.223 0.541
Mo6 0.770 0.469 0.585
Mg1 0.097 0.784 0.978
Mg2 0.903 0.216 0.022

Below is a crystal of MgSbMo2 relaxed with PBEsol, with properties calculated at the meta-GGA SCAN level.

Computed properties:
Energy above the most stable polymorph in this dataset   0.235 eV/atom
Energy relative to the elements, uncorrected   566 meV per atom
Symmetry   Cmmm (65)

Cell: 2.902 2.902 8.919 Å, 90.00 90.00 109.00°
Positions (direct):
Mo1 0.000 0.000 0.259
Mo2 0.000 0.000 0.741
Mg1 0.500 0.500 0.000
Sb1 0.500 0.500 0.500

Below is a crystal of MgSb3Mo relaxed with PBEsol, with properties calculated at the meta-GGA SCAN level.

Computed properties:
Energy relative to the elements, uncorrected   1179 meV per atom
Symmetry   Pm-3m (221)

Cell: 5.199 5.199 5.199 Å, 90.00 90.00 90.00°
Site moments in Bohr magnetons follow the coordinates.
Positions (direct):
Mo1 0.500 0.500 0.500  3.89
Sb1 0.000 0.000 0.500  -0.02
Sb2 0.000 0.500 0.000  -0.02
Sb3 0.500 0.000 0.000  -0.02
Mg1 0.000 0.000 0.000  0.02

Below is a crystal of MgSbMo2 relaxed with PBEsol, with properties calculated at the meta-GGA SCAN level.

Computed properties:
Energy above the most stable polymorph in this dataset   0.000 eV/atom
Energy relative to the elements, uncorrected   331 meV per atom
Symmetry   C2/m (12)

Cell: 3.281 4.607 5.007 Å, 103.14 109.13 90.00°
Positions (direct):
Mo1 0.749 0.773 0.497
Mo2 0.251 0.227 0.503
Sb1 0.000 0.500 0.000
Mg1 0.500 0.000 0.000

Below is a crystal of Mg2SbMo relaxed with PBEsol, with properties calculated at the meta-GGA SCAN level.

Computed properties:
Energy relative to the elements, uncorrected   230 meV per atom
Symmetry   Cmmm (65)

Cell: 2.952 2.952 9.263 Å, 90.00 90.00 99.79°
Positions (direct):
Mg1 0.000 0.000 0.277
Mg2 0.000 0.000 0.723
Sb1 0.500 0.500 0.000
Mo1 0.500 0.500 0.500

Below is a crystal of MgSb2Mo relaxed with PBEsol, with properties calculated at the meta-GGA SCAN level.

Computed properties:
Energy relative to the elements, uncorrected   291 meV per atom
Symmetry   P4/mmm (123)

Cell: 3.528 4.727 4.727 Å, 90.00 90.00 90.00°
Positions (direct):
Mg1 0.500 0.500 0.500
Sb1 0.000 0.500 0.000
Sb2 0.000 0.000 0.500
Mo1 0.500 0.000 0.000

Below is a crystal of MgSb2Mo relaxed with PBEsol, with properties calculated at the meta-GGA SCAN level.

Computed properties:
Energy relative to the elements, uncorrected   249 meV per atom
Symmetry   Cmm2 (35)

Cell: 2.995 2.995 10.123 Å, 90.00 90.00 103.79°
Positions (direct):
Mg1 0.000 0.000 0.471
Sb1 0.000 0.000 0.056
Sb2 0.500 0.500 0.714
Mo1 0.500 0.500 0.258

Below is a crystal of MgSb2Mo relaxed with PBEsol, with properties calculated at the meta-GGA SCAN level.

Computed properties:
Energy relative to the elements, uncorrected   614 meV per atom
Symmetry   F-43m (216)

Cell: 4.891 4.891 4.891 Å, 60.00 60.00 60.00°
Site moments in Bohr magnetons follow the coordinates.
Positions (direct):
Mg1 0.500 0.500 0.500  0.00
Sb1 0.000 0.000 0.000  -0.07
Sb2 0.250 0.250 0.250  -0.05
Mo1 0.750 0.750 0.750  1.72

Below is a crystal of MgSb2Mo relaxed with PBEsol, with properties calculated at the meta-GGA SCAN level.

Computed properties:
Energy relative to the elements, uncorrected   38 meV per atom
Symmetry   P2/m (10)

Cell: 3.384 3.402 7.198 Å, 90.00 95.75 90.00°
Positions (direct):
Sb1 0.964 0.000 0.784
Sb2 0.036 0.000 0.216
Mg1 0.500 0.500 0.500
Mo1 0.500 0.500 0.000

no.,E (eV/cell)
1,-183.41
2,-116.73
3,-115.78
4,-134.81
5,-108.06
6,-54.86
7,-206.23
8,-136.92
9,-182.93
10,-245.28
11,-182.47
12,-181.17
13,-145.26
14,-144.44
15,-144.24
16,-174.81
17,-107.89
18,-132.03
19,-72.54
20,-74.01
21,-74.41
22,-311.45
23,-109.74
24,-145.75
25,-110.68
26,-81.17
27,-113.21
28,-113.38
29,-111.92
30,-114.23